Record 1
First-principles (PBE) data for a geometry-optimized NdThPd structure, as listed in the Open Quantum Materials Database.

Cell lengths 5.015, 5.015, 5.015 Å; angles 60.00, 60.00, 60.00 degrees
Sites, in units of the cell vectors:
Nd 0.500 0.500 0.500
Pd 0.250 0.250 0.250
Th 0.000 0.000 0.000

## Properties
* energy relative to the lowest polymorph listed for this composition: 0 meV per atom
* formation energy from the elements: -225 meV/atom

---

Record 2
First-principles (PBE) data for a geometry-optimized Ag3Pb11 structure, as listed in the Open Quantum Materials Database.

Cell lengths 8.859, 8.859, 6.926 Å; angles 112.82, 112.82, 60.26 degrees
Sites, in units of the cell vectors:
Ag 0.345 0.345 0.050
Ag 0.073 0.073 0.317
Ag 0.606 0.606 0.857
Pb 0.842 0.842 0.141
Pb 0.423 0.027 0.236
Pb 0.027 0.423 0.236
Pb 0.613 0.613 0.308
Pb 0.674 0.267 0.463
Pb 0.267 0.674 0.463
Pb 0.971 0.484 0.724
Pb 0.484 0.971 0.724
Pb 0.086 0.086 0.781
Pb 0.718 0.217 0.950
Pb 0.217 0.718 0.950

## Properties
* total energy: -47.8 eV/f.u.

---

Record 3
First-principles (PBE) data for a geometry-optimized ScBeSbOs structure, as listed in the Open Quantum Materials Database.

Cell lengths 4.496, 4.496, 4.496 Å; angles 60.00, 60.00, 60.00 degrees
Sites, in units of the cell vectors:
Be 0.750 0.750 0.750
Os 0.250 0.250 0.250
Sb 0.500 0.500 0.500
Sc 0.000 0.000 0.000

## Properties
* energy relative to the lowest polymorph listed for this composition: 61 meV per atom

---

Record 4
First-principles (PBE) data for a geometry-optimized KSrIn4Au2 structure, as listed in the Open Quantum Materials Database.

Cell lengths 8.046, 6.169, 6.169 Å; angles 44.97, 90.00, 90.00 degrees
Sites, in units of the cell vectors:
Au 0.000 0.283 0.283
Au 0.500 0.719 0.719
In 0.304 0.144 0.144
In 0.696 0.144 0.144
In 0.195 0.855 0.855
In 0.805 0.855 0.855
K 0.000 0.566 0.566
Sr 0.500 0.434 0.434

## Properties
* total energy: -23.4 eV/f.u.

---

Record 5
First-principles (PBE) data for a geometry-optimized NaTcPdSe3 structure, as listed in the Open Quantum Materials Database.

Cell lengths 7.197, 7.197, 9.882 Å; angles 90.00, 90.00, 150.92 degrees
Site moments in Bohr magnetons follow the coordinates.
Sites, in units of the cell vectors:
Na 0.263 0.737 0.250  0.01
Na 0.737 0.263 0.750  0.01
Pd 0.955 0.045 0.250  0.07
Pd 0.045 0.955 0.750  0.07
Se 0.870 0.130 0.033  0.01
Se 0.582 0.418 0.250  -0.02
Se 0.870 0.130 0.467  0.01
Se 0.130 0.870 0.533  0.01
Se 0.418 0.582 0.750  -0.02
Se 0.130 0.870 0.967  0.01
Tc 0.500 0.500 0.000  1.43
Tc 0.500 0.500 0.500  1.42

## Properties
* total energy: -29.5 eV/f.u.